(1)
Crystalline ZnMoPt3 at its relaxed geometry. Source: Alexandria via LeMat-Bulk, functional PBE-GGA.

abc: 4.5730 4.5730 4.5730
angles: 90.00 90.00 90.00
Last column: nearest neighbours and their distance in Å.
Fractional coordinates of all 5 atoms:
Pt 0.0000 0.5000 0.0000  2 Zn 2.29
Pt 0.0000 0.0000 0.5000  2 Zn 2.29
Zn 0.0000 0.0000 0.0000  6 Pt 2.29
Mo 0.5000 0.5000 0.5000  12 Pt 3.23
Pt 0.5000 0.0000 0.0000  2 Zn 2.29

Values from the calculation:
calculated formation energy: 0.984 eV per atom
calculated volume: 95.6 Å³ per cell
total magnetization: 4.014 Bohr magnetons per cell
calculated total energy: -25.306 eV per cell

(2)
Crystalline TaAl2Zn at its relaxed geometry. Source: Alexandria via LeMat-Bulk, functional PBE-GGA.

abc: 6.3053 4.9280 2.8656
angles: 90.06 62.87 120.47
Last column: nearest neighbours and their distance in Å.
Fractional coordinates of all 4 atoms:
Ta 0.0000 0.5000 0.5000  2 Zn 2.81, 8 Al 2.85, 2 Ta 2.87
Al 0.0000 0.0000 0.0000  4 Al 2.81-2.87, 4 Ta 2.85, 4 Zn 2.85
Zn 0.5000 0.5000 0.0000  2 Ta 2.81, 8 Al 2.85, 2 Zn 2.87
Al 0.5000 0.0000 0.5000  4 Al 2.81-2.87, 4 Zn 2.85, 4 Ta 2.85

Values from the calculation:
calculated formation energy: -0.130 eV per atom
calculated volume: 65.1 Å³ per cell
total magnetization: 0.000 Bohr magnetons per cell
calculated total energy: -21.133 eV per cell

(3)
Crystalline Ba3Ge2Bi2 at its relaxed geometry. Source: Alexandria via LeMat-Bulk, functional PBE-GGA.

abc: 5.1483 5.0537 10.8429
angles: 103.48 103.73 90.00
Last column: nearest neighbours and their distance in Å.
Fractional coordinates of all 7 atoms:
Ge 0.5641 0.5641 0.1283  1 Ge 2.62
Ge 0.4359 0.4359 0.8717  1 Ge 2.62
Bi 0.8614 0.3614 0.7228  2 Ge 2.99
Ba 0.6778 0.1778 0.3556  2 Ge 3.43, 5 Bi 3.70-3.75
Bi 0.1386 0.6386 0.2772  2 Ge 2.99
Ba 0.3222 0.8222 0.6444  2 Ge 3.43, 5 Bi 3.70-3.75
Ba 0.0000 0.0000 0.0000  4 Bi 3.80, 8 Ge 3.84

Values from the calculation:
calculated formation energy: -0.631 eV per atom
calculated volume: 266.0 Å³ per cell
total magnetization: 0.000 Bohr magnetons per cell
calculated total energy: -27.184 eV per cell

(4)
Crystalline CsBe2PbBr8 at its relaxed geometry. Source: Alexandria via LeMat-Bulk, functional PBE-GGA.

abc: 6.7589 6.7589 11.1804
angles: 72.41 72.41 60.00
Last column: nearest neighbours and their distance in Å.
Fractional coordinates of all 12 atoms:
Br 0.3180 0.3180 0.0460  1 Be 2.17
Br 0.9227 0.5427 0.3165  1 Be 2.20
Br 0.6820 0.6820 0.9540  1 Be 2.17
Br 0.4573 0.0773 0.6835  1 Be 2.20
Br 0.7819 0.4573 0.6835  1 Be 2.20
Be 0.2490 0.2490 0.2530  4 Br 2.17-2.20
Pb 0.5000 0.5000 0.5000  6 Br 3.06
Br 0.5427 0.2181 0.3165  1 Be 2.20
Cs 0.0000 0.0000 0.0000  12 Br 3.93-4.03
Be 0.7510 0.7510 0.7470  4 Br 2.17-2.20
Br 0.0773 0.7819 0.6835  1 Be 2.20
Br 0.2181 0.9227 0.3165  1 Be 2.20

Values from the calculation:
calculated volume: 414.5 Å³ per cell
total magnetization: 0.536 Bohr magnetons per cell
formation energy without anion corrections: -973 meV/atom
calculated total energy: -37.075 eV per cell

(5)
Crystalline MnFeHPd2 at its relaxed geometry. Source: Alexandria via LeMat-Bulk, functional PBE-GGA.

abc: 3.9096 3.9096 3.9290
angles: 90.00 90.00 90.00
Last column: nearest neighbours and their distance in Å.
Fractional coordinates of all 5 atoms:
Mn 0.0000 0.0000 0.5000  2 H 1.96
Pd 0.0000 0.5000 0.0000  2 H 1.95
Fe 0.5000 0.5000 0.5000  4 Mn 2.76, 8 Pd 2.77
H 0.0000 0.0000 0.0000  4 Pd 1.95, 2 Mn 1.96
Pd 0.5000 0.0000 0.0000  2 H 1.95

Values from the calculation:
calculated volume: 60.1 Å³ per cell
total magnetization: 7.256 Bohr magnetons per cell
polymorph energy (0 for the lowest one): 0 meV per atom
calculated total energy: -31.428 eV per cell

(6)
Crystalline NaTmMgTl at its relaxed geometry. Source: Alexandria via LeMat-Bulk, functional PBE-GGA.

abc: 5.2810 5.2810 5.2810
angles: 60.00 60.00 60.00
Last column: nearest neighbours and their distance in Å.
Fractional coordinates of all 4 atoms:
Tm 0.5000 0.5000 0.5000  4 Mg 3.23, 4 Tl 3.23
Tl 0.2500 0.2500 0.2500  4 Tm 3.23, 4 Na 3.23
Na 0.0000 0.0000 0.0000  4 Tl 3.23, 4 Mg 3.23
Mg 0.7500 0.7500 0.7500  4 Na 3.23, 4 Tm 3.23

Values from the calculation:
calculated formation energy: -0.050 eV per atom
calculated volume: 104.1 Å³ per cell
total magnetization: 0.000 Bohr magnetons per cell
calculated total energy: -9.950 eV per cell

(7)
Crystalline LiCr4 at its relaxed geometry. Source: Alexandria via LeMat-Bulk, functional PBE-GGA.

abc: 4.3386 4.3386 4.3386
angles: 109.47 109.47 109.47
Last column: nearest neighbours and their distance in Å.
Fractional coordinates of all 5 atoms:
Cr 0.5000 0.0000 0.0000  2 Li 2.17
Li 0.0000 0.0000 0.0000  8 Cr 2.17
Cr 0.5000 0.5000 0.5000  2 Li 2.17
Cr 0.0000 0.5000 0.0000  2 Li 2.17
Cr 0.0000 0.0000 0.5000  2 Li 2.17

Values from the calculation:
calculated formation energy: 1.477 eV per atom
calculated volume: 62.9 Å³ per cell
total magnetization: 0.004 Bohr magnetons per cell
polymorph energy (0 for the lowest one): 1068 meV per atom
calculated total energy: -33.024 eV per cell

(8)
Crystalline Hf8Ga2Rh3 at its relaxed geometry. Source: Alexandria via LeMat-Bulk, functional PBE-GGA.

abc: 4.4956 9.0173 7.9847
angles: 124.38 90.00 90.00
Last column: nearest neighbours and their distance in Å.
Fractional coordinates of all 13 atoms:
Rh 0.0000 0.2435 0.0000  8 Hf 2.78-2.79
Rh 0.5000 0.0000 0.0000  8 Hf 2.82-2.83, 4 Rh 3.14
Hf 0.0000 0.1300 0.2599  2 Ga 2.78, 4 Rh 2.79-2.83
Rh 0.0000 0.7565 0.0000  8 Hf 2.78-2.79
Hf 0.5001 0.6213 0.7523  2 Ga 2.74-2.87, 3 Rh 2.78-2.82
Hf 0.4999 0.8691 0.2477  2 Ga 2.74-2.87, 3 Rh 2.78-2.82
Hf 0.4999 0.3787 0.2477  2 Ga 2.74-2.87, 3 Rh 2.78-2.82
Ga 0.4999 0.7461 0.4921  8 Hf 2.74-2.87
Hf 0.0000 0.8700 0.7401  2 Ga 2.78, 4 Rh 2.79-2.83
Hf 0.0001 0.3811 0.7622  2 Rh 2.79, 2 Ga 2.80
Hf 0.5001 0.1309 0.7523  2 Ga 2.74-2.87, 3 Rh 2.78-2.82
Ga 0.5001 0.2539 0.5079  8 Hf 2.74-2.87
Hf 0.9999 0.6189 0.2378  2 Rh 2.79, 2 Ga 2.80

Values from the calculation:
calculated formation energy: -0.347 eV per atom
calculated volume: 267.1 Å³ per cell
total magnetization: 0.000 Bohr magnetons per cell
calculated total energy: -112.243 eV per cell